# LaMgCr2Re, relaxed, DFT PBE
# magnetic moment = 1.24 μB/atom
# D(E_F) = 5.01 states/eV/cell
# ρ = 5.901 Mg/m³
# uncorrected energy = -6.743 eV/atom
data_LaMgCr2Re
_symmetry_space_group_name_H-M 'P 4/m m m'
_symmetry_Int_Tables_number 123
_symmetry_space_group_name_Hall '-P 4 2'
_cell_length_a 4.8524
_cell_length_b 4.8524
_cell_length_c 5.4183
_cell_angle_alpha 90.00
_cell_angle_beta 90.00
_cell_angle_gamma 90.00
loop_
_atom_site_label
_atom_site_type_symbol
_atom_site_fract_x
_atom_site_fract_y
_atom_site_fract_z
_atom_site_occupancy
La1 La 0.0000 0.0000 0.0000 1
Mg1 Mg 0.5000 0.5000 0.0000 1
Cr1 Cr 0.0000 0.5000 0.5000 1
Re1 Re 0.0000 0.0000 0.5000 1